Here is an optimized crystal structure of In2SnN from Alexandria via LeMat-Bulk. Energies are from GGA-PBE.

The formation energy without anion corrections comes out at 1018 meV per atom. Its total energy is -3.43 eV/atom.

The space group is Fm-3m (No. 225) and the conventional cell measures 7.054, 7.054 and 7.054 Å, with angles of 90.00, 90.00 and 90.00 degrees. The asymmetric unit holds In at (0.250, 0.250, 0.250), Sn at (0.000, 0.000, 0.000) and N at (0.000, 0.000, 0.500).

---

Here is an optimized crystal structure of In2SnN from Alexandria via LeMat-Bulk. Energies are from GGA-PBE.

The formation energy without anion corrections comes out at 750 meV per atom. Its total energy is -3.70 eV/atom.

The space group is R-3m (No. 166, hexagonal axes) and the conventional cell measures 4.2906, 4.2906 and 22.5306 Å, with angles of 90.00, 90.00 and 120.00 degrees. The asymmetric unit holds In at (0.0000, 0.0000, 0.0872), Sn at (0.0000, 0.0000, 0.5000) and N at (0.0000, 0.0000, 0.0000).